The following is a GGA+U calculation of a relaxed MnP2O7 crystal, from Alexandria via LeMat-Bulk.

The space group is C2/m (No. 12) and the conventional cell measures 10.0527, 8.4104 and 6.8621 Å, with angles of 90.00, 119.03 and 90.00 degrees. Symmetry generates all atoms from Mn at (0.0000, 0.1863, 0.0000), P at (0.1905, 0.0000, 0.4427), P at (0.2322, 0.5000, 0.0747), O at (0.1092, 0.1558, 0.3209), O at (0.1408, 0.0000, 0.9976), O at (0.1418, 0.3479, 0.9953), O at (0.1420, 0.5000, 0.4903) and O at (0.1665, 0.0000, 0.6581).

As for the crystal system: monoclinic. The energy relative to the lowest polymorph listed for this composition is 121 meV per atom. The total magnetization is 17.216 μB per cell.